Entry 1:
A plane-wave DFT calculation with PBE-GGA was carried out for crystalline Al2ZnBO6 at its relaxed geometry.

The space group is C2/c (No. 15) and the conventional cell measures 8.688, 10.114 and 5.200 Å, with angles of 90.00, 114.54 and 90.00 degrees. The distinct sites, in fractional coordinates, are Al at (0.144, 0.093, 0.155), Zn at (0.000, 0.399, 0.250), B at (0.000, 0.325, 0.750), O at (0.090, 0.256, 0.019), O at (0.120, 0.061, 0.473) and O at (0.122, 0.413, 0.689).

The total energy comes out at -0.2478 Ha/atom. The energy relative to the elements, uncorrected is -22.2 eV/f.u. The magnetic moment comes out at 1.038 μB per formula unit.



Entry 2:
A plane-wave DFT calculation with PBE-GGA was carried out for crystalline AlZn2B2O6 at its relaxed geometry.

The space group is P-3 (No. 147) and the conventional cell measures 4.7421, 4.7421 and 6.5756 Å, with angles of 90.00, 90.00 and 120.00 degrees. The distinct sites, in fractional coordinates, are Al at (0.0000, 0.0000, 0.0000), Zn at (0.3333, 0.6667, 0.7016), B at (0.3333, 0.6667, 0.1732) and O at (0.0645, 0.3562, 0.1739).

The total energy comes out at -0.2391 Ha/atom. The energy relative to the elements, uncorrected is -22.2 eV/f.u. The magnetic moment comes out at 0.233 μB per formula unit.



Entry 3:
A plane-wave DFT calculation with PBE-GGA was carried out for crystalline AlB2Os2 at its relaxed geometry.

The space group is P4/mbm (No. 127) and the conventional cell measures 6.204, 6.204 and 2.793 Å, with angles of 90.00, 90.00 and 90.00 degrees. The distinct sites, in fractional coordinates, are Al at (0.000, 0.000, 0.000), B at (0.136, 0.364, 0.000) and Os at (0.157, 0.657, 0.500).

The formation energy comes out at -0.07 eV per atom. The total energy comes out at -0.2932 Ha/atom. The magnetic moment comes out at 0.000 μB per formula unit.